No. 1
10
Lattice="8.632 0.000 0.000 0.000 8.632 0.000 0.000 0.000 3.092" Properties=species:S:1:pos:R:3 comment="PBE-GGA Ti2Sn2Pb, optimized geometry" magnetic_moment_mub_per_atom=0.1510 polymorph_energy_ev_per_atom=0.076 dft_energy_ev_per_atom=-5.53 formation_enthalpy_0k_ev_per_atom=-0.029 spacegroup="P4/mbm (127)" pbc="T T T"
Ti 1.025 3.291 0.000
Ti 3.291 7.607 0.000
Ti 5.341 1.025 0.000
Ti 7.607 5.341 0.000
Sn 1.462 5.778 1.546
Sn 2.854 1.462 1.546
Sn 5.778 7.169 1.546
Sn 7.169 2.854 1.546
Pb 0.000 0.000 1.546
Pb 4.316 4.316 1.546

***

No. 2
10
Lattice="4.532 0.000 0.000 0.000 4.532 0.000 0.000 0.000 12.224" Properties=species:S:1:pos:R:3 comment="PBE-GGA Ti2Sn2Pb, optimized geometry" magnetic_moment_mub_per_atom=0.0000 polymorph_energy_ev_per_atom=0.238 dft_energy_ev_per_atom=-5.37 formation_enthalpy_0k_ev_per_atom=0.132 spacegroup="I4/mmm (139)" pbc="T T T"
Ti 0.000 2.266 3.056
Ti 0.000 2.266 9.168
Ti 2.266 0.000 3.056
Ti 2.266 0.000 9.168
Sn 0.000 0.000 1.449
Sn 0.000 0.000 10.775
Sn 2.266 2.266 4.663
Sn 2.266 2.266 7.561
Pb 0.000 0.000 6.112
Pb 2.266 2.266 0.000

***

No. 3
10
Lattice="8.723 0.000 0.000 0.000 8.723 0.000 0.000 0.000 3.140" Properties=species:S:1:pos:R:3 comment="PBE-GGA Ti2SnPb2, optimized geometry" magnetic_moment_mub_per_atom=0.2614 polymorph_energy_ev_per_atom=0.217 dft_energy_ev_per_atom=-5.23 formation_enthalpy_0k_ev_per_atom=0.211 spacegroup="P4/mbm (127)" pbc="T T T"
Ti 1.022 3.339 0.000
Ti 3.339 7.701 0.000
Ti 5.384 1.022 0.000
Ti 7.701 5.384 0.000
Sn 0.000 0.000 1.570
Sn 4.362 4.362 1.570
Pb 1.511 5.872 1.570
Pb 2.851 1.511 1.570
Pb 5.872 7.212 1.570
Pb 7.212 2.851 1.570

***

No. 4
11
Lattice="-2.617 4.300 5.149 2.617 -4.300 5.149 2.617 4.300 -5.149" Properties=species:S:1:pos:R:3 comment="PBE-GGA Ti7SnPb3, optimized geometry" magnetic_moment_mub_per_atom=0.2628 dft_energy_ev_per_atom=-6.20 formation_enthalpy_0k_ev_per_atom=0.195 spacegroup="Immm (71)" pbc="T T T"
Ti 0.000 0.000 0.000
Ti 2.617 -1.429 2.600
Ti 2.617 2.737 0.000
Ti 2.617 1.429 2.600
Ti 0.000 2.871 2.549
Ti 0.000 1.563 5.149
Ti 0.000 5.729 2.549
Sn 2.617 0.000 0.000
Pb 0.000 0.000 2.767
Pb 0.000 4.300 0.000
Pb 0.000 0.000 7.530

***

No. 5
12
Lattice="3.276 0.000 0.000 -1.638 2.837 0.000 0.000 0.000 32.701" Properties=species:S:1:pos:R:3 comment="PBE-GGA TiSn2Pb, optimized geometry" magnetic_moment_mub_per_atom=0.1341 dft_energy_ev_per_atom=-4.90 formation_enthalpy_0k_ev_per_atom=0.001 spacegroup="R-3m (166)" pbc="T T T"
Ti 0.000 0.000 0.000
Ti 0.000 1.891 21.801
Ti 1.638 0.946 10.900
Sn 0.000 0.000 13.167
Sn 0.000 0.000 19.534
Sn 0.000 1.891 2.266
Sn 0.000 1.891 8.634
Sn 1.638 0.946 24.067
Sn 1.638 0.946 30.435
Pb 0.000 0.000 16.350
Pb 0.000 1.891 5.450
Pb 1.638 0.946 27.251

***

No. 6
16
Lattice="4.268 0.000 0.000 0.000 4.268 0.000 0.000 0.000 22.276" Properties=species:S:1:pos:R:3 comment="PBE-GGA TiSn2Pb, optimized geometry" magnetic_moment_mub_per_atom=0.0000 dft_energy_ev_per_atom=-4.70 formation_enthalpy_0k_ev_per_atom=0.200 spacegroup="I-42d (122)" pbc="T T T"
Ti 0.000 0.000 0.000
Ti 0.000 2.134 5.569
Ti 2.134 0.000 16.707
Ti 2.134 2.134 11.138
Sn 1.022 1.067 2.784
Sn 1.067 3.156 8.353
Sn 1.067 3.245 19.491
Sn 1.112 1.067 13.922
Sn 3.156 3.201 13.922
Sn 3.201 1.022 19.491
Sn 3.201 1.112 8.353
Sn 3.245 3.201 2.784
Pb 0.000 0.000 11.138
Pb 0.000 2.134 16.707
Pb 2.134 0.000 5.569
Pb 2.134 2.134 0.000

***

No. 7
10
Lattice="7.386 0.000 0.000 0.000 7.386 0.000 0.000 0.000 4.021" Properties=species:S:1:pos:R:3 comment="PBE-GGA Ti2Sn2Pb, optimized geometry" magnetic_moment_mub_per_atom=0.0000 polymorph_energy_ev_per_atom=0.000 dft_energy_ev_per_atom=-5.61 formation_enthalpy_0k_ev_per_atom=-0.105 spacegroup="P4/mbm (127)" pbc="T T T"
Ti 1.016 2.677 0.000
Ti 2.677 6.370 0.000
Ti 4.710 1.016 0.000
Ti 6.370 4.710 0.000
Sn 1.182 4.875 2.010
Sn 2.511 1.182 2.010
Sn 4.875 6.205 2.010
Sn 6.205 2.511 2.010
Pb 0.000 0.000 0.000
Pb 3.693 3.693 0.000

***

No. 8
9
Lattice="-1.490 4.059 7.204 1.490 -4.059 7.204 1.490 4.059 -7.204" Properties=species:S:1:pos:R:3 comment="PBE-GGA Ti6SnPb2, optimized geometry" magnetic_moment_mub_per_atom=0.0022 dft_energy_ev_per_atom=-6.39 formation_enthalpy_0k_ev_per_atom=0.139 spacegroup="Immm (71)" pbc="T T T"
Ti 1.490 -2.655 4.761
Ti 0.000 2.644 0.000
Ti 0.000 1.404 2.443
Ti 1.490 2.655 4.761
Ti 0.000 5.474 0.000
Ti 0.000 6.714 2.443
Sn 1.490 0.000 0.000
Pb 0.000 0.000 4.978
Pb 0.000 0.000 9.430